## AuBrO2 (PBE)

Data for crystalline AuBrO2 at its relaxed geometry.

Cell: 4.3466 4.3466 13.1802 Å, 90.00 90.00 90.00°
With the nearest neighbours (Å) after each atom.
Space group I-42d (No. 122)
Unique sites:
Au (0.0000, 0.0000, 0.0000)  4 O 2.28
Br (0.0000, 0.0000, 0.5000)  4 O 2.23
O (0.2387, 0.2500, 0.6250)  2 Br 2.23, 2 Au 2.28

raw total energy: -3.011 eV per atom
total magnetic moment: 0.000 μB per formula unit
formation energy from raw total energies: 0.706 eV/atom